# PrTm3Sc

PrTm3Sc after structural relaxation (PBE-GGA, Alexandria via LeMat-Bulk).

```
PrTm3Sc
1.0
6.1544 0.0000 0.0000
0.0050 6.5889 0.0000
3.0573 1.7661 7.4789
Pr Tm Sc
2 6 2
direct
0.2179 0.3462 0.4014 Pr
0.7821 0.6538 0.5986 Pr
0.0173 0.9483 0.8040 Tm
0.3919 0.8440 0.3980 Tm
0.4125 0.7487 0.0012 Tm
0.5875 0.2513 0.9988 Tm
0.6081 0.1560 0.6020 Tm
0.9827 0.0517 0.1960 Tm
0.1766 0.4490 0.8108 Sc
0.8234 0.5510 0.1892 Sc
```

Values from the calculation:
Its crystal system is triclinic. The calculation puts the total DFT energy (no corrections) at -4.8832 eV/atom.

# Pr6Tm3Sc2

Pr6Tm3Sc2 after structural relaxation (PBE-GGA, Alexandria via LeMat-Bulk).

```
Pr6Tm3Sc2
1.0
3.1028 -5.3819 0.0000
3.1028 5.3819 0.0000
-2.0707 0.0000 11.0968
Pr Tm Sc
6 3 2
direct
0.0796 0.4099 0.2377 Pr
0.2507 0.2507 0.7624 Pr
0.4099 0.0796 0.2377 Pr
0.5901 0.9204 0.7623 Pr
0.7493 0.7493 0.2376 Pr
0.9204 0.5901 0.7623 Pr
0.1670 0.8330 0.5000 Tm
0.5000 0.5000 0.5000 Tm
0.8330 0.1670 0.5000 Tm
0.3328 0.6672 0.0000 Sc
0.6672 0.3328 0.0000 Sc
```

Values from the calculation:
Its crystal system is monoclinic. The calculation puts the total DFT energy (no corrections) at -4.7871 eV/atom.

Look up the total DFT energy (no corrections) of the first one.
-4.8832 eV/atom